[1]
Here is a geometry-optimized Mn2CuTe4 structure from the Alexandria database. Energies are from GGA-PBE.

Properties
Total moment ... 7.87 μB per cell
Formation energy without anion corrections ... 40 meV per atom
Space-group type ... I4/m, No. 87
ρ ... 5.4 g/cm³

Cell lengths 6.488, 6.488, 6.488 Å; angles 111.19, 111.19, 106.09 degrees
Atoms (fractional coordinates):
Mn1 0.250 0.750 0.500
Mn2 0.750 0.250 0.500
Cu1 0.500 0.500 0.000
Te1 0.331 0.188 0.519
Te2 0.812 0.331 0.143
Te3 0.188 0.669 0.857
Te4 0.669 0.812 0.481

=====

[2]
Here is a geometry-optimized MnCuTe structure from the Alexandria database. Energies are from GGA-PBE.

Properties
Total moment ... 3.83 μB per cell
Formation energy without anion corrections ... 241 meV per atom
Space-group type ... I4mm, No. 107
ρ ... 7.5 g/cm³

Cell lengths 4.733, 4.733, 3.720 Å; angles 66.85, 66.87, 46.28 degrees
Atoms (fractional coordinates):
Cu1 0.000 0.000 0.000
Mn1 0.327 0.327 0.673
Te1 0.672 0.672 0.328

=====

[3]
Here is a geometry-optimized Mn2CuTe structure from the Alexandria database. Energies are from GGA-PBE.

Properties
Total moment ... 1.21 μB per cell
Formation energy without anion corrections ... 363 meV per atom
Space-group type ... F-43m, No. 216
ρ ... 8.0 g/cm³

Cell lengths 4.448, 4.448, 4.448 Å; angles 60.00, 60.00, 60.00 degrees
Atoms (fractional coordinates):
Cu1 0.500 0.500 0.500
Mn1 0.000 0.000 0.000
Mn2 0.250 0.250 0.250
Te1 0.750 0.750 0.750

=====

[4]
Here is a geometry-optimized Mn2CuTe structure from the Alexandria database. Energies are from GGA-PBE.

Properties
Total moment ... 7.10 μB per cell
Formation energy without anion corrections ... 232 meV per atom
Space-group type ... P4/mmm, No. 123
ρ ... 7.9 g/cm³

Cell lengths 3.995, 3.995, 3.980 Å; angles 90.00, 90.00, 90.00 degrees
Atoms (fractional coordinates):
Cu1 0.000 0.500 0.500
Mn1 0.000 0.000 0.000
Mn2 0.500 0.500 0.000
Te1 0.500 0.000 0.500

=====

[5]
Here is a geometry-optimized Mn2Tl3CuTe6 structure from the Alexandria database. Energies are from GGA-PBE.

Properties
Total moment ... 6.40 μB per cell
Formation energy without anion corrections ... -178 meV per atom
Space-group type ... C2/m, No. 12
ρ ... 7.6 g/cm³

Cell lengths 7.088, 7.088, 8.121 Å; angles 98.33, 98.33, 119.97 degrees
Atoms (fractional coordinates):
Mn1 0.333 0.667 0.000
Mn2 0.667 0.333 0.000
Tl1 0.167 0.833 0.500
Tl2 0.833 0.167 0.500
Tl3 0.500 0.500 0.500
Cu1 0.000 0.000 0.000
Te1 0.938 0.601 0.813
Te2 0.727 0.727 0.182
Te3 0.062 0.399 0.187
Te4 0.601 0.938 0.813
Te5 0.273 0.273 0.818
Te6 0.399 0.062 0.187

=====

[6]
Here is a geometry-optimized MnTl2Cu2Te4 structure from the Alexandria database. Energies are from GGA-PBE.

Properties
Total moment ... 3.48 μB per cell
Formation energy without anion corrections ... -184 meV per atom
Space-group type ... C2/m, No. 12
ρ ... 7.5 g/cm³

Cell lengths 4.081, 8.136, 8.120 Å; angles 110.89, 104.56, 90.00 degrees
Atoms (fractional coordinates):
Mn1 0.000 0.000 0.000
Tl1 0.131 0.569 0.263
Tl2 0.869 0.431 0.737
Cu1 0.695 0.987 0.390
Cu2 0.305 0.013 0.610
Te1 0.193 0.191 0.387
Te2 0.807 0.809 0.613
Te3 0.519 0.785 0.037
Te4 0.481 0.215 0.963

=====

Number 1: V 29.95 A^3/atom. Number 2: V 18.15 A^3/atom. Number 3: V 15.56 A^3/atom. Number 4: V 15.88 A^3/atom. Number 5: V 28.19 A^3/atom. Number 6: V 26.96 A^3/atom.